PBEsol In2Ga2Pb, optimized geometry; offset from the most stable computed form = 14.8 meV/atom; theoretical density = 7.9 g/cm³; DFT formation energy = 0.0732 eV per atom; D(E_F) = 0.467 states/eV/atom; electronic total energy = -16.278 eV/cell
1.0
-1.899 1.899 8.354
1.899 -1.899 8.354
1.899 1.899 -8.354
In Ga Pb
2 2 1
Direct
0.113 0.113 0.000
0.887 0.887 0.000
0.250 0.750 0.500
0.750 0.250 0.500
0.500 0.500 0.000